No. 1
YTc4Ru | PBE | optimized geometry

CIF file:
```
data_YTc4Ru
_symmetry_space_group_name_H-M 'F -4 3 m'
_symmetry_Int_Tables_number 216
_symmetry_space_group_name_Hall 'F -4 2 3'
_cell_length_a 7.388
_cell_length_b 7.388
_cell_length_c 7.388
_cell_angle_alpha 90.00
_cell_angle_beta 90.00
_cell_angle_gamma 90.00
loop_
_atom_site_label
_atom_site_fract_x
_atom_site_fract_y
_atom_site_fract_z
Y1 0.000 0.000 0.000
Tc1 0.126 0.126 0.626
Ru1 0.250 0.250 0.250
```

## Properties
* electronic total energy: -9.34 eV per atom
* theoretical density: 9.59 g/cm3


No. 2
YTc2Ru | PBE | optimized geometry

CIF file:
```
data_YTc2Ru
_symmetry_space_group_name_H-M 'R -3 m'
_symmetry_Int_Tables_number 166
_symmetry_space_group_name_Hall '-R 3 2"'
_cell_length_a 2.8700
_cell_length_b 2.8700
_cell_length_c 28.5266
_cell_angle_alpha 90.00
_cell_angle_beta 90.00
_cell_angle_gamma 120.00
loop_
_atom_site_label
_atom_site_fract_x
_atom_site_fract_y
_atom_site_fract_z
Y1 0.0000 0.0000 0.0000
Tc1 0.0000 0.0000 0.2401
Ru1 0.0000 0.0000 0.5000
```

## Properties
* electronic total energy: -8.63 eV per atom
* theoretical density: 9.45 g/cm3
* energy relative to the lowest polymorph listed for this composition: 138 kJ/mol of formula units


No. 3
YTc2Ru | PBE | optimized geometry

CIF file:
```
data_YTc2Ru
_symmetry_space_group_name_H-M 'P 4/m m m'
_symmetry_Int_Tables_number 123
_symmetry_space_group_name_Hall '-P 4 2'
_cell_length_a 4.632
_cell_length_b 4.632
_cell_length_c 3.135
_cell_angle_alpha 90.00
_cell_angle_beta 90.00
_cell_angle_gamma 90.00
loop_
_atom_site_label
_atom_site_fract_x
_atom_site_fract_y
_atom_site_fract_z
Y1 0.000 0.000 0.000
Tc1 0.000 0.500 0.500
Ru1 0.500 0.500 0.000
```

## Properties
* electronic total energy: -8.74 eV per atom
* theoretical density: 9.53 g/cm3
* energy relative to the lowest polymorph listed for this composition: 94 kJ/mol of formula units


No. 4
YTc2Ru | PBE | optimized geometry

CIF file:
```
data_YTc2Ru
_symmetry_space_group_name_H-M 'I 4/m m m'
_symmetry_Int_Tables_number 139
_symmetry_space_group_name_Hall '-I 4 2'
_cell_length_a 3.862
_cell_length_b 3.862
_cell_length_c 9.236
_cell_angle_alpha 90.00
_cell_angle_beta 90.00
_cell_angle_gamma 90.00
loop_
_atom_site_label
_atom_site_fract_x
_atom_site_fract_y
_atom_site_fract_z
Y1 0.000 0.000 0.000
Tc1 0.000 0.500 0.250
Ru1 0.000 0.000 0.500
```

## Properties
* electronic total energy: -8.77 eV per atom
* theoretical density: 9.31 g/cm3
* energy relative to the lowest polymorph listed for this composition: 84 kJ/mol of formula units


No. 5
YTc3Ru | PBE | optimized geometry

CIF file:
```
data_YTc3Ru
_symmetry_space_group_name_H-M 'P m -3 m'
_symmetry_Int_Tables_number 221
_symmetry_space_group_name_Hall '-P 4 2 3'
_cell_length_a 4.660
_cell_length_b 4.660
_cell_length_c 4.660
_cell_angle_alpha 90.00
_cell_angle_beta 90.00
_cell_angle_gamma 90.00
loop_
_atom_site_label
_atom_site_fract_x
_atom_site_fract_y
_atom_site_fract_z
Y1 0.000 0.000 0.000
Tc1 0.000 0.000 0.500
Ru1 0.500 0.500 0.500
```

## Properties
* electronic total energy: -6.67 eV per atom
* theoretical density: 7.94 g/cm3
* energy relative to the lowest polymorph listed for this composition: 811 kJ/mol of formula units


No. 6
Y3TcRu | PBE | optimized geometry

CIF file:
```
data_Y3TcRu
_symmetry_space_group_name_H-M 'P m -3 m'
_symmetry_Int_Tables_number 221
_symmetry_space_group_name_Hall '-P 4 2 3'
_cell_length_a 5.228
_cell_length_b 5.228
_cell_length_c 5.228
_cell_angle_alpha 90.00
_cell_angle_beta 90.00
_cell_angle_gamma 90.00
loop_
_atom_site_label
_atom_site_fract_x
_atom_site_fract_y
_atom_site_fract_z
Y1 0.000 0.000 0.500
Tc1 0.500 0.500 0.500
Ru1 0.000 0.000 0.000
```

## Properties
* electronic total energy: -7.27 eV per atom
* theoretical density: 5.41 g/cm3
* energy relative to the lowest polymorph listed for this composition: 0 kJ/mol of formula units


Q: Which of these has the lowest electronic total energy?
A: YTc4Ru


Copy entry 3 word for word.
YTc2Ru | PBE | optimized geometry

CIF file:
```
data_YTc2Ru
_symmetry_space_group_name_H-M 'P 4/m m m'
_symmetry_Int_Tables_number 123
_symmetry_space_group_name_Hall '-P 4 2'
_cell_length_a 4.632
_cell_length_b 4.632
_cell_length_c 3.135
_cell_angle_alpha 90.00
_cell_angle_beta 90.00
_cell_angle_gamma 90.00
loop_
_atom_site_label
_atom_site_fract_x
_atom_site_fract_y
_atom_site_fract_z
Y1 0.000 0.000 0.000
Tc1 0.000 0.500 0.500
Ru1 0.500 0.500 0.000
```

## Properties
* electronic total energy: -8.74 eV per atom
* theoretical density: 9.53 g/cm3
* energy relative to the lowest polymorph listed for this composition: 94 kJ/mol of formula units


Q: electronic total energy of number 5 (YTc3Ru)?
A: -6.67 eV per atom